1.
The following is a DFT calculation (GGA-PBEsol) of a relaxed structure of HfZrO4.

## Properties
The calculation puts the formation energy without anion corrections at -20.92 eV per formula unit.

Structure (POSCAR):
```
HfZrO4
1.0
-3.9826 -0.4721 2.6972
3.2487 -1.7078 4.4981
-0.7739 5.7515 -0.1359
Hf Zr O
2 2 8
direct
0.0000 0.0000 0.0000
0.5000 0.0000 0.5000
0.5000 0.5000 0.0000
0.0000 0.5000 0.5000
0.3034 0.8497 0.1553
0.1966 0.8497 0.6553
0.6922 0.6548 0.3500
0.8078 0.6548 0.8500
0.1922 0.3452 0.1500
0.3078 0.3452 0.6500
0.8034 0.1503 0.3447
0.6966 0.1503 0.8447
```


2.
The following is a DFT calculation (GGA-PBEsol) of a relaxed structure of HfZrO4.

## Properties
The calculation puts the formation energy without anion corrections at -21.10 eV per formula unit.

Structure (POSCAR):
```
HfZrO4
1.0
7.1414 0.0000 0.0000
0.0000 7.1416 -0.0016
-3.5707 -3.5691 5.1492
Hf Zr O
4 4 16
direct
0.8646 0.6230 0.7291
0.8649 0.1234 0.2291
0.3642 0.1234 0.2291
0.8646 0.1237 0.7292
0.3654 0.6246 0.2315
0.3657 0.1248 0.7315
0.3657 0.6241 0.7315
0.8661 0.6246 0.2315
0.4687 0.9767 0.4326
0.2626 0.2714 0.5251
0.2148 0.7277 0.9326
0.5132 0.5222 0.0265
0.0148 0.0238 0.0295
0.7655 0.7743 0.5309
0.7178 0.2229 0.9326
0.0125 0.5216 0.0251
0.4688 0.4736 0.4326
0.2633 0.7720 0.5265
0.2148 0.2229 0.9326
0.5155 0.0245 0.0310
0.7648 0.2736 0.5296
0.7178 0.7277 0.9326
0.9639 0.9767 0.4326
0.9639 0.4736 0.4326
```


3.
The following is a DFT calculation (GGA-PBEsol) of a relaxed structure of HfZrO4.

## Properties
The calculation puts the formation energy without anion corrections at -21.09 eV per formula unit.

Structure (POSCAR):
```
HfZrO4
1.0
-2.1689 4.1655 -1.8545
1.2270 -1.4447 -4.6800
-4.0069 -3.8698 2.8679
Hf Zr O
2 2 8
direct
0.0000 0.0000 0.0000
0.2500 0.7500 0.5000
0.5000 0.5000 0.0000
0.7500 0.2500 0.5000
0.3493 0.8528 0.2024
0.3969 0.4004 0.2976
0.1472 0.1469 0.7976
0.5996 0.0993 0.7024
0.6504 0.6507 0.7976
0.1028 0.6031 0.7024
0.9007 0.8972 0.2976
0.8531 0.3496 0.2024
```


4.
The following is a DFT calculation (GGA-PBEsol) of a relaxed structure of HfZrO4.

## Properties
The calculation puts the formation energy without anion corrections at -20.91 eV per formula unit.

Structure (POSCAR):
```
HfZrO4
1.0
-0.6384 -3.1091 -0.5413
3.3003 -0.0631 -3.5299
3.3910 -1.2545 3.2067
Hf Zr O
1 1 4
direct
0.0000 0.5000 0.5000
0.5000 0.0000 0.0000
0.0000 0.1962 0.1962
0.5000 0.3070 0.6930
0.5000 0.6930 0.3070
0.0000 0.8038 0.8038
```


5.
The following is a DFT calculation (GGA-PBEsol) of a relaxed structure of HfOs2.

## Properties
The calculation puts the formation energy at -37.7 kJ/mol of atoms.

Structure (POSCAR):
```
HfOs2
1.0
5.1576 0.0000 0.0000
-2.5788 4.4666 0.0000
0.0000 0.0000 8.4777
Hf Os
4 8
direct
0.3333 0.6667 0.0667
0.6667 0.3333 0.9333
0.6667 0.3333 0.5667
0.3333 0.6667 0.4333
0.0000 0.0000 0.0000
0.0000 0.0000 0.5000
0.8275 0.1725 0.2500
0.3451 0.1725 0.2500
0.8275 0.6550 0.2500
0.1725 0.8275 0.7500
0.6550 0.8275 0.7500
0.1725 0.3451 0.7500
```


6.
The following is a DFT calculation (GGA-PBEsol) of a relaxed structure of HfOs.

## Properties
The calculation puts the formation energy at -68.1 kJ/mol of atoms.

Structure (POSCAR):
```
HfOs
1.0
-1.2773 -2.5046 -1.5589
2.0935 0.4273 -2.4019
2.0785 -1.9696 1.4612
Os Hf
1 1
direct
0.0000 0.0000 0.0000
0.5000 0.5000 0.5000
```


7.
The following is a DFT calculation (GGA-PBEsol) of a relaxed structure of HfP2Os.

## Properties
The calculation puts the formation energy at -37.6 kJ/mol of atoms.

Structure (POSCAR):
```
HfP2Os
1.0
4.3171 0.0000 0.0000
2.1586 3.7387 0.0000
2.1586 1.2462 3.5249
Hf Os P
1 1 2
direct
0.0000 0.0000 0.0000
0.5000 0.5000 0.5000
0.2500 0.2500 0.2500
0.7500 0.7500 0.7500
```


8.
The following is a DFT calculation (GGA-PBEsol) of a relaxed structure of HfPOs.

## Properties
The calculation puts the formation energy at -92.8 kJ/mol of atoms.

Structure (POSCAR):
```
HfPOs
1.0
3.7997 0.0000 0.0000
0.0000 6.3600 0.0000
0.0000 -3.1800 5.5079
Hf Os P
3 3 3
direct
0.5000 0.0000 0.5833
0.5000 0.4167 0.4167
0.5000 0.5833 0.0000
0.0000 0.2479 0.0000
0.0000 0.7521 0.7521
0.0000 0.0000 0.2479
0.0000 0.6667 0.3333
0.0000 0.3333 0.6667
0.5000 0.0000 0.0000
```


no.,total DFT energy (no corrections) (eV per atom)
1,-10.25
2,-10.28
3,-10.28
4,-10.25
5,-12.04
6,-12.06
7,-8.97
8,-10.46